[1]
YTmGe4 | PBE-GGA | optimized geometry

```
data_YTmGe4
_chemical_formula_sum 'Y1 Tm1 Ge4'
_space_group_name_H-M_alt 'P 1'
_space_group_IT_number 1
_cell_length_a 3.909
_cell_length_b 8.260
_cell_length_c 8.260
_cell_angle_alpha 28.21
_cell_angle_beta 90.00
_cell_angle_gamma 90.00
loop_
_space_group_symop_operation_xyz
'x,y,z'
loop_
_atom_site_label
_atom_site_type_symbol
_atom_site_fract_x
_atom_site_fract_y
_atom_site_fract_z
_atom_site_occupancy
Y1 Y 0.000 0.000 0.000 1
Tm1 Tm 0.500 0.792 0.792 1
Ge1 Ge 0.000 0.341 0.341 1
Ge2 Ge 0.000 0.645 0.645 1
Ge3 Ge 0.500 0.150 0.150 1
Ge4 Ge 0.500 0.445 0.445 1
```

## Properties
SG: Amm2 (38)



[2]
BeZn | PBE-GGA | optimized geometry

```
data_BeZn
_chemical_formula_sum 'Be5 Zn5'
_space_group_name_H-M_alt 'P 1'
_space_group_IT_number 1
_cell_length_a 4.244
_cell_length_b 3.728
_cell_length_c 8.060
_cell_angle_alpha 90.00
_cell_angle_beta 93.91
_cell_angle_gamma 90.00
loop_
_space_group_symop_operation_xyz
'x,y,z'
loop_
_atom_site_label
_atom_site_type_symbol
_atom_site_fract_x
_atom_site_fract_y
_atom_site_fract_z
_atom_site_occupancy
Be1 Be 0.000 0.000 0.000 1
Be2 Be 0.023 0.000 0.261 1
Be3 Be 0.534 0.000 0.119 1
Be4 Be 0.571 0.500 0.618 1
Be5 Be 0.758 0.500 0.211 1
Zn1 Zn 0.072 0.500 0.473 1
Zn2 Zn 0.239 0.500 0.128 1
Zn3 Zn 0.552 0.000 0.423 1
Zn4 Zn 0.652 0.500 0.905 1
Zn5 Zn 0.921 0.000 0.711 1
```

## Properties
SG: Pm (6)



[3]
Rb2Er4Cu4Se9 | PBE-GGA | optimized geometry

```
data_Rb2Er4Cu4Se9
_chemical_formula_sum 'Rb2 Er4 Cu4 Se9'
_space_group_name_H-M_alt 'P 1'
_space_group_IT_number 1
_cell_length_a 7.495
_cell_length_b 7.495
_cell_length_c 16.485
_cell_angle_alpha 108.20
_cell_angle_beta 108.20
_cell_angle_gamma 31.75
loop_
_space_group_symop_operation_xyz
'x,y,z'
loop_
_atom_site_label
_atom_site_type_symbol
_atom_site_fract_x
_atom_site_fract_y
_atom_site_fract_z
_atom_site_occupancy
Rb1 Rb 0.032 0.032 0.272 1
Rb2 Rb 0.968 0.968 0.728 1
Er1 Er 0.230 0.230 0.102 1
Er2 Er 0.345 0.345 0.444 1
Er3 Er 0.655 0.655 0.556 1
Er4 Er 0.770 0.770 0.898 1
Cu1 Cu 0.245 0.245 0.731 1
Cu2 Cu 0.425 0.425 0.031 1
Cu3 Cu 0.575 0.575 0.969 1
Cu4 Cu 0.755 0.755 0.269 1
Se1 Se 0.000 0.000 0.500 1
Se2 Se 0.139 0.139 0.923 1
Se3 Se 0.297 0.297 0.600 1
Se4 Se 0.349 0.349 0.276 1
Se5 Se 0.394 0.394 0.873 1
Se6 Se 0.606 0.606 0.127 1
Se7 Se 0.651 0.651 0.724 1
Se8 Se 0.703 0.703 0.400 1
Se9 Se 0.861 0.861 0.077 1
```

## Properties
SG: C2/m (12)



[4]
Gd5In3Br | PBE-GGA | optimized geometry

```
data_Gd5In3Br
_chemical_formula_sum 'Gd10 In6 Br2'
_space_group_name_H-M_alt 'P 1'
_space_group_IT_number 1
_cell_length_a 9.314
_cell_length_b 9.314
_cell_length_c 6.720
_cell_angle_alpha 90.00
_cell_angle_beta 90.00
_cell_angle_gamma 120.00
loop_
_space_group_symop_operation_xyz
'x,y,z'
loop_
_atom_site_label
_atom_site_type_symbol
_atom_site_fract_x
_atom_site_fract_y
_atom_site_fract_z
_atom_site_occupancy
Gd1 Gd 0.000 0.265 0.250 1
Gd2 Gd 0.000 0.735 0.750 1
Gd3 Gd 0.265 0.000 0.250 1
Gd4 Gd 0.265 0.265 0.750 1
Gd5 Gd 0.333 0.667 0.000 1
Gd6 Gd 0.333 0.667 0.500 1
Gd7 Gd 0.667 0.333 0.000 1
Gd8 Gd 0.667 0.333 0.500 1
Gd9 Gd 0.735 0.000 0.750 1
Gd10 Gd 0.735 0.735 0.250 1
In1 In 0.000 0.393 0.750 1
In2 In 0.000 0.607 0.250 1
In3 In 0.393 0.000 0.750 1
In4 In 0.393 0.393 0.250 1
In5 In 0.607 0.000 0.250 1
In6 In 0.607 0.607 0.750 1
Br1 Br 0.000 0.000 0.000 1
Br2 Br 0.000 0.000 0.500 1
```

## Properties
SG: P6_3/mcm (193)



[5]
Li2Zn2Sn2IrPt | PBE-GGA | optimized geometry

```
data_Li2Zn2Sn2IrPt
_chemical_formula_sum 'Li2 Zn2 Sn2 Ir1 Pt1'
_space_group_name_H-M_alt 'P 1'
_space_group_IT_number 1
_cell_length_a 4.479
_cell_length_b 4.479
_cell_length_c 6.343
_cell_angle_alpha 90.00
_cell_angle_beta 90.00
_cell_angle_gamma 90.00
loop_
_space_group_symop_operation_xyz
'x,y,z'
loop_
_atom_site_label
_atom_site_type_symbol
_atom_site_fract_x
_atom_site_fract_y
_atom_site_fract_z
_atom_site_occupancy
Li1 Li 0.000 0.000 0.000 1
Li2 Li 0.500 0.500 0.500 1
Zn1 Zn 0.000 0.500 0.248 1
Zn2 Zn 0.500 0.000 0.752 1
Sn1 Sn 0.000 0.500 0.757 1
Sn2 Sn 0.500 0.000 0.243 1
Ir1 Ir 0.500 0.500 0.000 1
Pt1 Pt 0.000 0.000 0.500 1
```

## Properties
SG: P-4m2 (115)



[6]
KNdTa | PBE-GGA | optimized geometry

```
data_KNdTa
_chemical_formula_sum 'K1 Nd1 Ta1'
_space_group_name_H-M_alt 'P 1'
_space_group_IT_number 1
_cell_length_a 5.184
_cell_length_b 5.184
_cell_length_c 5.184
_cell_angle_alpha 60.00
_cell_angle_beta 60.00
_cell_angle_gamma 60.00
loop_
_space_group_symop_operation_xyz
'x,y,z'
loop_
_atom_site_label
_atom_site_type_symbol
_atom_site_fract_x
_atom_site_fract_y
_atom_site_fract_z
_atom_site_occupancy
K1 K 0.000 0.000 0.000 1
Nd1 Nd 0.750 0.750 0.750 1
Ta1 Ta 0.250 0.250 0.250 1
```

## Properties
SG: F-43m (216)



[7]
NpAsOs | PBE-GGA | optimized geometry

```
data_NpAsOs
_chemical_formula_sum 'Np1 As1 Os1'
_space_group_name_H-M_alt 'P 1'
_space_group_IT_number 1
_cell_length_a 4.442
_cell_length_b 4.442
_cell_length_c 4.442
_cell_angle_alpha 60.00
_cell_angle_beta 60.00
_cell_angle_gamma 60.00
loop_
_space_group_symop_operation_xyz
'x,y,z'
loop_
_atom_site_label
_atom_site_type_symbol
_atom_site_fract_x
_atom_site_fract_y
_atom_site_fract_z
_atom_site_occupancy
Np1 Np 0.000 0.000 0.000 1
As1 As 0.500 0.500 0.500 1
Os1 Os 0.750 0.750 0.750 1
```

## Properties
SG: F-43m (216)



[8]
KNaTcIr | PBE-GGA | optimized geometry

```
data_KNaTcIr
_chemical_formula_sum 'K1 Na1 Tc1 Ir1'
_space_group_name_H-M_alt 'P 1'
_space_group_IT_number 1
_cell_length_a 4.696
_cell_length_b 4.696
_cell_length_c 4.696
_cell_angle_alpha 60.00
_cell_angle_beta 60.00
_cell_angle_gamma 60.00
loop_
_space_group_symop_operation_xyz
'x,y,z'
loop_
_atom_site_label
_atom_site_type_symbol
_atom_site_fract_x
_atom_site_fract_y
_atom_site_fract_z
_atom_site_occupancy
K1 K 0.000 0.000 0.000 1
Na1 Na 0.250 0.250 0.250 1
Tc1 Tc 0.750 0.750 0.750 1
Ir1 Ir 0.500 0.500 0.500 1
```

## Properties
SG: F-43m (216)



Energy per entry: -5.51 -2.26 -4.78 -4.32 -4.10 -3.72 -9.49 -4.31 eV per atom